This record from the Alexandria database describes an optimized crystal structure of MgZn5Ga8. The functional is PBE-GGA.

Properties
- formation energy from the elements (eV per formula unit) = 0.4
- DFT total energy (eV/atom) = -2.27

Unit cell a=6.976 b=6.976 c=6.976 alpha=105.18 beta=118.45 gamma=105.18
Positions (direct):
Ga  0.073  0.725  0.459
Ga  0.421  0.339  0.440
Ga  0.917  0.019  0.579
Ga  0.560  0.981  0.898
Ga  0.734  0.275  0.348
Ga  0.102  0.661  0.083
Zn  0.218  0.960  0.953
Zn  0.047  0.265  0.007
Mg  0.250  0.500  0.750
Ga  0.541  0.614  0.266
Zn  0.500  0.000  0.500
Zn  0.993  0.040  0.258
Zn  0.742  0.735  0.782
Ga  0.652  0.386  0.927